(1)
## CaBrO2 (PBE)

Data for an optimized crystal structure of CaBrO2.

Lattice parameters (Å, degrees): 4.581 4.581 7.442 72.07 72.07 90.00
Atoms (fractional coordinates):
Br 0.000 0.000 0.000
Br 0.750 0.250 0.500
O 0.875 0.889 0.750
O 0.111 0.625 0.250
O 0.639 0.125 0.250
O 0.375 0.361 0.750
Ca 0.250 0.750 0.500
Ca 0.500 0.500 0.000

Computed properties:
Density of states at the Fermi level, states/eV per atom: 0.33
Relative energy among the computed polymorphs, meV/atom: 608
VASP energy, eV/atom: -4.25
Energy relative to the elements, uncorrected, meV/atom: -850

(2)
## Hf3BeGe (PBE)

Data for an optimized crystal structure of Hf3BeGe.

Lattice parameters (Å, degrees): 4.609 4.609 4.609 90.00 90.00 90.00
Atoms (fractional coordinates):
Hf 0.000 0.500 0.000
Hf 0.000 0.000 0.500
Hf 0.500 0.000 0.000
Be 0.000 0.000 0.000
Ge 0.500 0.500 0.500

Computed properties:
ΔH_f (0 K), meV/atom: 112.0
Density of states at the Fermi level, states/eV per atom: 0.58
Relative energy among the computed polymorphs, meV/atom: 0
VASP energy, eV/atom: -7.53

(3)
## Ce10Al2C3 (PBE)

Data for an optimized crystal structure of Ce10Al2C3.

Lattice parameters (Å, degrees): 6.806 9.393 12.062 109.97 106.39 90.00
Atoms (fractional coordinates):
Ce 0.267 0.500 0.000
Ce 0.839 0.061 0.230
Ce 0.982 0.801 0.965
Ce 0.596 0.534 0.710
Ce 0.392 0.061 0.230
Ce 0.018 0.199 0.035
Ce 0.506 0.200 0.012
Ce 0.126 0.760 0.252
Ce 0.404 0.466 0.290
Ce 0.755 0.679 0.510
Ce 0.000 0.000 0.500
Ce 0.608 0.939 0.770
Ce 0.733 0.500 0.000
Ce 0.494 0.800 0.988
Ce 0.886 0.466 0.290
Ce 0.874 0.240 0.748
Ce 0.245 0.321 0.490
Ce 0.114 0.534 0.710
Ce 0.161 0.939 0.770
Ce 0.500 0.000 0.500
C 0.073 0.481 0.145
C 0.740 0.000 0.000
C 0.819 0.948 0.638
C 0.181 0.052 0.362
C 0.927 0.519 0.855
C 0.260 0.000 0.000
Al 0.261 0.692 0.522
Al 0.372 0.247 0.744
Al 0.628 0.753 0.256
Al 0.739 0.308 0.478

Computed properties:
ΔH_f (0 K), meV/atom: -140.9
Density of states at the Fermi level, states/eV per atom: 2.27
VASP energy, eV/atom: -6.44

(4)
## ThZrPd (PBE)

Data for an optimized crystal structure of ThZrPd.

Lattice parameters (Å, degrees): 3.443 3.443 6.474 105.42 105.42 90.00
Atoms (fractional coordinates):
Pd 0.687 0.687 0.373
Th 0.005 0.005 0.010
Zr 0.309 0.309 0.617

Computed properties:
ΔH_f (0 K), meV/atom: -394.6
Density of states at the Fermi level, states/eV per atom: 1.28
Relative energy among the computed polymorphs, meV/atom: 62
VASP energy, eV/atom: -7.45

(5)
## As3Br (PBE)

Data for an optimized crystal structure of As3Br.

Lattice parameters (Å, degrees): 5.900 5.900 5.900 146.10 130.22 61.59
Atoms (fractional coordinates):
As 0.205 0.205 0.000
As 0.000 0.500 0.500
As 0.795 0.795 0.000
Br 0.500 0.000 0.500

Computed properties:
Density of states at the Fermi level, states/eV per atom: 0.41
Relative energy among the computed polymorphs, meV/atom: 343
VASP energy, eV/atom: -3.47
Energy relative to the elements, uncorrected, meV/atom: 432

(6)
## SrSm4S5 (PBE)

Data for an optimized crystal structure of SrSm4S5.

Lattice parameters (Å, degrees): 4.033 7.046 9.071 75.06 77.16 73.37
Atoms (fractional coordinates):
S 0.607 0.685 0.101
S 0.200 0.906 0.694
S 0.000 0.500 0.500
S 0.800 0.094 0.306
S 0.393 0.315 0.899
Sm 0.197 0.395 0.211
Sm 0.597 0.210 0.597
Sm 0.803 0.605 0.789
Sm 0.403 0.790 0.403
Sr 0.000 0.000 0.000

Computed properties:
Density of states at the Fermi level, states/eV per atom: 0.29
VASP energy, eV/atom: -6.15
Energy relative to the elements, uncorrected, meV/atom: -2031

(7)
## Ca6Sn3H (PBE)

Data for an optimized crystal structure of Ca6Sn3H.

Lattice parameters (Å, degrees): 6.484 8.941 10.301 90.00 85.57 90.00
Atoms (fractional coordinates):
Sn 0.924 0.383 0.751
Sn 0.500 0.500 0.000
Sn 0.424 0.117 0.251
Sn 0.000 0.000 0.500
Sn 0.076 0.617 0.249
Sn 0.576 0.883 0.749
Ca 0.887 0.965 0.223
Ca 0.613 0.465 0.277
Ca 0.899 0.683 0.941
Ca 0.130 0.331 0.439
Ca 0.370 0.831 0.061
Ca 0.630 0.169 0.939
Ca 0.113 0.035 0.777
Ca 0.399 0.817 0.441
Ca 0.601 0.183 0.559
Ca 0.870 0.669 0.561
Ca 0.101 0.317 0.059
Ca 0.387 0.535 0.723
H 0.500 0.500 0.500
H 0.000 0.000 0.000

Computed properties:
Density of states at the Fermi level, states/eV per atom: 0.55
VASP energy, eV/atom: -3.19

(8)
## NdGePt3 (PBE)

Data for an optimized crystal structure of NdGePt3.

Lattice parameters (Å, degrees): 4.118 4.118 6.364 71.12 71.13 90.05
Atoms (fractional coordinates):
Ge 0.020 0.823 0.666
Pt 0.809 0.612 0.088
Pt 0.144 0.448 0.418
Pt 0.644 0.947 0.418
Nd 0.391 0.195 0.922

Computed properties:
ΔH_f (0 K), meV/atom: -908.9
Density of states at the Fermi level, states/eV per atom: 0.47
Relative energy among the computed polymorphs, meV/atom: 0
VASP energy, eV/atom: -6.41

(9)
## RbTlCd2Hg (PBE)

Data for an optimized crystal structure of RbTlCd2Hg.

Lattice parameters (Å, degrees): 5.826 5.826 5.928 90.00 90.00 90.00
Atoms (fractional coordinates):
Cd 0.500 0.000 0.000
Cd 0.000 0.500 0.000
Hg 0.000 0.000 0.500
Rb 0.500 0.500 0.500
Tl 0.000 0.000 0.000

Computed properties:
ΔH_f (0 K), meV/atom: 73.2
Density of states at the Fermi level, states/eV per atom: 0.52
Relative energy among the computed polymorphs, meV/atom: 161
VASP energy, eV/atom: -1.02

(10)
## BeZnPt3 (PBE)

Data for an optimized crystal structure of BeZnPt3.

Lattice parameters (Å, degrees): 4.217 4.217 4.217 90.00 90.00 90.00
Atoms (fractional coordinates):
Zn 0.500 0.500 0.500
Pt 0.000 0.500 0.000
Pt 0.500 0.000 0.000
Pt 0.000 0.000 0.500
Be 0.000 0.000 0.000

Computed properties:
ΔH_f (0 K), meV/atom: -175.7
Density of states at the Fermi level, states/eV per atom: 0.02
Relative energy among the computed polymorphs, meV/atom: 0
VASP energy, eV/atom: -4.80

(11)
## NbVTc (PBE)

Data for an optimized crystal structure of NbVTc.

Lattice parameters (Å, degrees): 2.606 2.606 7.623 99.84 99.84 90.00
Atoms (fractional coordinates):
Tc 0.772 0.772 0.543
V 0.127 0.127 0.254
Nb 0.951 0.951 0.903

Computed properties:
ΔH_f (0 K), meV/atom: 751.5
Density of states at the Fermi level, states/eV per atom: 1.45
Relative energy among the computed polymorphs, meV/atom: 1008
VASP energy, eV/atom: -9.10

(12)
## ScIn2Cu (PBE)

Data for an optimized crystal structure of ScIn2Cu.

Lattice parameters (Å, degrees): 3.241 3.241 7.588 90.00 90.00 89.99
Atoms (fractional coordinates):
Sc 0.500 0.500 0.250
In 0.000 0.000 0.969
In 0.000 0.000 0.531
Cu 0.500 0.500 0.750

Computed properties:
ΔH_f (0 K), meV/atom: -172.1
Density of states at the Fermi level, states/eV per atom: 0.43
VASP energy, eV/atom: -4.15

(13)
## AgTeRu3 (PBE)

Data for an optimized crystal structure of AgTeRu3.

Lattice parameters (Å, degrees): 4.816 4.816 4.816 90.00 90.00 90.00
Atoms (fractional coordinates):
Ru 0.500 0.000 0.000
Ru 0.000 0.000 0.500
Ru 0.000 0.500 0.000
Ag 0.500 0.500 0.500
Te 0.000 0.000 0.000

Computed properties:
Density of states at the Fermi level, states/eV per atom: 0.82
Relative energy among the computed polymorphs, meV/atom: 0
VASP energy, eV/atom: -5.26
Energy relative to the elements, uncorrected, meV/atom: 1499

(14)
## LaTmPdS3 (PBE)

Data for an optimized crystal structure of LaTmPdS3.

Lattice parameters (Å, degrees): 3.905 7.896 8.710 103.77 90.00 90.00
Atoms (fractional coordinates):
S 0.750 0.905 0.126
S 0.750 0.427 0.151
S 0.250 0.095 0.874
S 0.250 0.736 0.490
S 0.250 0.573 0.849
S 0.750 0.264 0.510
Tm 0.750 0.322 0.826
Tm 0.250 0.678 0.174
La 0.750 0.809 0.745
La 0.250 0.191 0.255
Pd 0.250 0.106 0.597
Pd 0.750 0.894 0.403

Computed properties:
Density of states at the Fermi level, states/eV per atom: 0.11
VASP energy, eV/atom: -6.26
Energy relative to the elements, uncorrected, meV/atom: -1762

(15)
## Tb3Er2Cd (PBE)

Data for an optimized crystal structure of Tb3Er2Cd.

Lattice parameters (Å, degrees): 6.108 6.917 9.154 90.03 109.49 90.00
Atoms (fractional coordinates):
Tb 0.139 0.500 0.278
Tb 0.321 0.750 0.000
Tb 0.679 0.250 0.000
Tb 0.861 0.500 0.722
Tb 0.861 0.000 0.722
Tb 0.139 0.000 0.278
Er 0.678 0.250 0.374
Er 0.305 0.250 0.626
Er 0.322 0.750 0.626
Er 0.695 0.750 0.374
Cd 0.194 0.250 0.000
Cd 0.806 0.750 0.000

Computed properties:
ΔH_f (0 K), meV/atom: -29.1
Density of states at the Fermi level, states/eV per atom: 1.10
Relative energy among the computed polymorphs, meV/atom: 59
VASP energy, eV/atom: -4.02

(16)
## NaCd2GaGe (PBE)

Data for an optimized crystal structure of NaCd2GaGe.

Lattice parameters (Å, degrees): 5.333 5.183 5.333 90.00 90.00 90.00
Atoms (fractional coordinates):
Cd 0.500 0.000 0.000
Cd 0.000 0.000 0.500
Na 0.000 0.000 0.000
Ga 0.500 0.500 0.500
Ge 0.000 0.500 0.000

Computed properties:
ΔH_f (0 K), meV/atom: 706.8
Density of states at the Fermi level, states/eV per atom: 0.68
VASP energy, eV/atom: -1.45

(17)
## InCu2Ru (PBE)

Data for an optimized crystal structure of InCu2Ru.

Lattice parameters (Å, degrees): 4.466 2.828 4.858 85.75 90.00 90.00
Atoms (fractional coordinates):
Ru 0.500 0.750 0.750
In 0.500 0.250 0.250
Cu 0.000 0.480 0.526
Cu 0.000 0.020 0.974

Computed properties:
ΔH_f (0 K), meV/atom: 264.1
Density of states at the Fermi level, states/eV per atom: 0.71
VASP energy, eV/atom: -4.79

(18)
## BaAgRu2 (PBE)

Data for an optimized crystal structure of BaAgRu2.

Lattice parameters (Å, degrees): 3.586 3.586 6.983 90.00 90.00 90.00
Atoms (fractional coordinates):
Ba 0.500 0.500 0.750
Ru 0.000 0.000 0.078
Ru 0.000 0.000 0.422
Ag 0.500 0.500 0.250

Computed properties:
ΔH_f (0 K), meV/atom: 893.1
Density of states at the Fermi level, states/eV per atom: 0.89
Relative energy among the computed polymorphs, meV/atom: 594
VASP energy, eV/atom: -4.94

(19)
## DyHoTm6 (PBE)

Data for an optimized crystal structure of DyHoTm6.

Lattice parameters (Å, degrees): 6.646 6.646 9.205 109.77 109.77 122.06
Atoms (fractional coordinates):
Tm 0.196 0.671 0.250
Tm 0.671 0.196 0.250
Tm 0.329 0.804 0.750
Tm 0.751 0.751 0.250
Tm 0.804 0.329 0.750
Tm 0.249 0.249 0.750
Dy 0.500 0.500 0.500
Ho 0.000 0.000 0.000

Computed properties:
ΔH_f (0 K), meV/atom: 228.0
Density of states at the Fermi level, states/eV per atom: 1.72
Relative energy among the computed polymorphs, meV/atom: 12
VASP energy, eV/atom: -4.27

(20)
## TlFeAs2 (PBE)

Data for an optimized crystal structure of TlFeAs2.

Lattice parameters (Å, degrees): 4.703 4.703 4.703 60.00 60.00 60.00
Atoms (fractional coordinates):
As 0.750 0.750 0.750
As 0.250 0.250 0.250
Fe 0.000 0.000 0.000
Tl 0.500 0.500 0.500

Computed properties:
ΔH_f (0 K), meV/atom: 720.1
Density of states at the Fermi level, states/eV per atom: 1.29
Relative energy among the computed polymorphs, meV/atom: 684
VASP energy, eV/atom: -4.31